First-principles (GGA-PBE) data for crystalline Eu2SbN at its relaxed geometry, as listed in Alexandria via LeMat-Bulk.

Structure (POSCAR):
```
Eu2SbN
1.0
-2.1394 -0.7713 2.8999
1.1461 -2.4034 2.5479
3.0966 4.9517 5.9432
N Eu Sb
1 2 1
direct
0.0000 0.0000 0.0000
0.2763 0.2763 0.1712
0.7237 0.7237 0.8288
0.5000 0.5000 0.5000
```

Computed properties:
total moment	13.6	μB/f.u.
formation energy without anion corrections	-880	meV/atom
crystal system	trigonal
SG	R-3m
mass density	7.71	Mg/m³